No. 1
Material: HfNbI2N
Method: DFT, GGA-PBE
State: relaxed

Output
* ΔE_f (raw): 0.55 eV per atom
* space-group type: P4/mmm (123)

Cell: 5.689 5.689 3.891 Å, 90.00 90.00 90.00°
Atoms (fractional coordinates):
Hf 0.000 0.000 0.000
Nb 0.500 0.500 0.500
I 0.000 0.500 0.500
I 0.500 0.000 0.500
N 0.500 0.500 0.000



No. 2
Material: La2TaHN3
Method: DFT, GGA-PBE
State: relaxed

Output
* space-group type: Immm (71)

Cell: 3.748 4.129 13.048 Å, 90.00 90.00 90.00°
Atoms (fractional coordinates):
La 0.000 0.000 0.149
La 0.000 0.000 0.851
La 0.500 0.500 0.351
La 0.500 0.500 0.649
Ta 0.000 0.000 0.500
Ta 0.500 0.500 0.000
H 0.000 0.500 0.000
H 0.500 0.000 0.500
N 0.000 0.000 0.339
N 0.000 0.000 0.661
N 0.000 0.500 0.500
N 0.500 0.000 0.000
N 0.500 0.500 0.161
N 0.500 0.500 0.839



No. 3
Material: TbZn2Ru
Method: DFT, GGA-PBE
State: relaxed

Output
* space-group type: P4/mmm (123)
* ΔE_f: -0.7 eV per formula unit

Cell: 3.420 3.420 6.035 Å, 90.00 90.00 90.00°
Atoms (fractional coordinates):
Tb 0.000 0.000 0.000
Zn 0.500 0.500 0.297
Zn 0.500 0.500 0.703
Ru 0.000 0.000 0.500



No. 4
Material: TmTaGa4
Method: DFT, GGA-PBE
State: relaxed

Output
* space-group type: F-43m (216)
* ΔE_f: -1.5 eV per formula unit

Cell: 5.271 5.271 5.271 Å, 60.00 60.00 60.00°
Atoms (fractional coordinates):
Tm 0.000 0.000 0.000
Ta 0.250 0.250 0.250
Ga 0.126 0.625 0.625
Ga 0.625 0.126 0.625
Ga 0.625 0.625 0.126
Ga 0.625 0.625 0.625



No. 5
Material: K2OsCl6
Method: DFT, GGA-PBE
State: relaxed

Output
* ΔE_f (raw): -1.15 eV per atom
* space-group type: Fm-3m (225)

Cell: 7.050 7.050 7.050 Å, 60.00 60.00 60.00°
Atoms (fractional coordinates):
K 0.250 0.250 0.250
K 0.750 0.750 0.750
Os 0.000 0.000 0.000
Cl 0.236 0.236 0.764
Cl 0.236 0.764 0.236
Cl 0.236 0.764 0.764
Cl 0.764 0.236 0.236
Cl 0.764 0.236 0.764
Cl 0.764 0.764 0.236



No. 6
Material: HfAsHF2
Method: DFT, GGA-PBE
State: relaxed

Output
* space-group type: P4/mmm (123)

Cell: 4.751 4.751 3.164 Å, 90.00 90.00 90.00°
Atoms (fractional coordinates):
Hf 0.000 0.000 0.000
As 0.500 0.500 0.500
H 0.500 0.500 0.000
F 0.000 0.500 0.500
F 0.500 0.000 0.500



Looking at magnetic moment for the records above, in order, we have 1.48; 0.00; 0.00; 0.00; 2.00; 0.00 Bohr magnetons per cell.
Looking at total DFT energy (no corrections) for the records above, in order, we have -28.711; -58.187; -17.109; -29.890; -34.875; -23.077 eV per formula unit.